No. 1
Material: In3CuW
Method: DFT, PBEsol
State: optimized geometry

Values from the calculation:
The value obtained for the formation energy is 1207 meV per atom. As for the energy above the most stable polymorph in this dataset: 10 meV/atom. The value obtained for the density of states at the Fermi level is 0.72 states/eV/atom. The value obtained for the magnetization is 3.0 μB/f.u. As for the space-group type: Pm-3m (221). The calculated volume comes out at 111.0 Å³/cell.

a = 4.8060 Å, b = 4.8060 Å, c = 4.8060 Å
α = 90.00°, β = 90.00°, γ = 90.00°
With the nearest neighbours (Å) after each atom.
Fractional positions:
In1 0.0000 0.5000 0.0000  2 Cu 2.40
In2 0.0000 0.0000 0.5000  2 Cu 2.40
In3 0.5000 0.0000 0.0000  2 Cu 2.40
Cu1 0.0000 0.0000 0.0000  6 In 2.40
W1 0.5000 0.5000 0.5000  12 In 3.40

No. 2
Material: NdGa3Ni
Method: DFT, PBEsol
State: optimized geometry

Values from the calculation:
The value obtained for the formation energy is -582 meV per atom. The value obtained for the density of states at the Fermi level is 0.52 states/eV/atom. The value obtained for the magnetization is 0.0 μB/f.u. As for the space-group type: I-4m2 (119). The calculated volume comes out at 87.3 Å³/cell.

a = 4.0861 Å, b = 4.0861 Å, c = 5.9714 Å
α = 110.01°, β = 110.01°, γ = 90.00°
With the nearest neighbours (Å) after each atom.
Fractional positions:
Ga1 0.6187 0.6187 0.2374  2 Ni 2.46, 3 Ga 2.46-2.48
Ga2 0.3813 0.3813 0.7626  2 Ni 2.46, 3 Ga 2.46-2.48
Ga3 0.2500 0.7500 0.5000  4 Ga 2.46
Nd1 0.0000 0.0000 0.0000  12 Ga 3.14-3.32, 4 Ni 3.32
Ni1 0.7500 0.2500 0.5000  4 Ga 2.46

No. 3
Material: VMo2S4
Method: DFT, PBEsol
State: optimized geometry

Values from the calculation:
The formation energy without anion corrections comes out at -587 kJ/mol of formula units. The value obtained for the density of states at the Fermi level is 0.53 states/eV/atom. The value obtained for the magnetization is 1.6 μB/f.u. As for the space-group type: C2/m (12). The calculated volume comes out at 106.9 Å³/cell.

a = 3.1438 Å, b = 5.9512 Å, c = 6.4642 Å
α = 113.50°, β = 104.07°, γ = 90.00°
With the nearest neighbours (Å) after each atom.
Fractional positions:
S1 0.8983 0.5643 0.7965  3 Mo 2.36, 1 V 2.37
S2 0.1017 0.4357 0.2035  3 Mo 2.36, 1 V 2.37
S3 0.3639 0.0300 0.7278  2 V 2.38, 3 Mo 2.53-2.54
S4 0.6361 0.9700 0.2722  2 V 2.38, 3 Mo 2.53-2.54
V1 0.0000 0.0000 0.0000  6 S 2.37-2.38
Mo1 0.7407 0.6852 0.4814  6 S 2.36-2.54
Mo2 0.2593 0.3148 0.5186  6 S 2.36-2.54

No. 4
Material: Al2Ag
Method: DFT, PBEsol
State: optimized geometry

Values from the calculation:
The value obtained for the formation energy is 2 meV per atom. The value obtained for the density of states at the Fermi level is 0.31 states/eV/atom. The value obtained for the magnetization is 0.0 μB/f.u. As for the space-group type: I4_1/amd (141). The calculated volume comes out at 196.2 Å³/cell.

a = 4.0124 Å, b = 4.0124 Å, c = 12.5105 Å
α = 99.23°, β = 99.23°, γ = 90.00°
With the nearest neighbours (Å) after each atom.
Fractional positions:
Al1 0.5005 0.0005 0.0010  4 Ag 2.83-2.85, 8 Al 2.84-2.87
Al2 0.4164 0.4164 0.8328  6 Ag 2.84-2.87, 6 Al 2.85-2.87
Al3 0.9995 0.4995 0.9990  4 Ag 2.83-2.85, 8 Al 2.84-2.87
Al4 0.6664 0.1664 0.3328  6 Ag 2.84-2.87, 6 Al 2.85-2.87
Al5 0.7495 0.7495 0.4990  4 Ag 2.83-2.85, 8 Al 2.84-2.87
Al6 0.2505 0.2505 0.5010  4 Ag 2.83-2.85, 8 Al 2.84-2.87
Al7 0.5836 0.5836 0.1672  6 Ag 2.84-2.87, 6 Al 2.85-2.87
Al8 0.8336 0.3336 0.6672  6 Ag 2.84-2.87, 6 Al 2.85-2.87
Ag1 0.9176 0.9176 0.8351  10 Al 2.83-2.87, 2 Ag 2.89
Ag2 0.0824 0.0824 0.1649  10 Al 2.83-2.87, 2 Ag 2.89
Ag3 0.1676 0.6676 0.3351  10 Al 2.83-2.87, 2 Ag 2.89
Ag4 0.3324 0.8324 0.6649  10 Al 2.83-2.87, 2 Ag 2.89

No. 5
Material: Fe2NiIr
Method: DFT, PBEsol
State: optimized geometry

Values from the calculation:
The value obtained for the formation energy is -16 meV per atom. The value obtained for the density of states at the Fermi level is 1.18 states/eV/atom. The value obtained for the magnetization is 5.1 μB/f.u. As for the space-group type: P4/mmm (123). The calculated volume comes out at 46.5 Å³/cell.

a = 3.6107 Å, b = 3.5881 Å, c = 3.5881 Å
α = 90.00°, β = 90.00°, γ = 90.00°
With the nearest neighbours (Å) after each atom.
Fractional positions:
Ni1 0.5000 0.0000 0.0000  4 Ir 2.54, 8 Fe 2.55
Fe1 0.0000 0.5000 0.0000  4 Fe 2.54, 4 Ni 2.55, 4 Ir 2.55
Fe2 0.0000 0.0000 0.5000  4 Fe 2.54, 4 Ni 2.55, 4 Ir 2.55
Ir1 0.5000 0.5000 0.5000  4 Ni 2.54, 8 Fe 2.55

No. 6
Material: InGaN3
Method: DFT, PBEsol
State: optimized geometry

Values from the calculation:
The formation energy without anion corrections comes out at 631 kJ/mol of formula units. The value obtained for the density of states at the Fermi level is 0.59 states/eV/atom. The value obtained for the magnetization is 3.2 μB/f.u. As for the space-group type: Pm-3m (221). The calculated volume comes out at 60.1 Å³/cell.

a = 3.9171 Å, b = 3.9171 Å, c = 3.9171 Å
α = 90.00°, β = 90.00°, γ = 90.00°
With the nearest neighbours (Å) after each atom.
Fractional positions:
In1 0.5000 0.5000 0.5000  12 N 2.77
N1 0.5000 0.0000 0.0000  2 Ga 1.96
N2 0.0000 0.0000 0.5000  2 Ga 1.96
N3 0.0000 0.5000 0.0000  2 Ga 1.96
Ga1 0.0000 0.0000 0.0000  6 N 1.96

No. 7
Material: Hg3Bi2Te2Cl8
Method: DFT, PBEsol
State: optimized geometry

Values from the calculation:
The formation energy without anion corrections comes out at -1024 kJ/mol of formula units. The value obtained for the density of states at the Fermi level is 0.00 states/eV/atom. The value obtained for the magnetization is 0.0 μB/f.u. As for the space-group type: C2/c (15). The calculated volume comes out at 853.7 Å³/cell.

a = 7.6447 Å, b = 9.5013 Å, c = 13.2883 Å
α = 103.67°, β = 90.00°, γ = 113.72°
With the nearest neighbours (Å) after each atom.
Fractional positions:
Te1 0.9028 0.3231 0.3033  3 Hg 2.67
Te2 0.5797 0.6769 0.1967  3 Hg 2.67
Te3 0.0972 0.6769 0.6967  3 Hg 2.67
Te4 0.4203 0.3231 0.8033  3 Hg 2.67
Hg1 0.2518 0.4828 0.2515  2 Te 2.67
Hg2 0.0000 0.5000 0.5000  2 Te 2.67
Hg3 0.7690 0.5172 0.2485  2 Te 2.67
Hg4 0.5000 0.5000 0.0000  2 Te 2.67
Hg5 0.2310 0.4828 0.7515  2 Te 2.67
Hg6 0.7482 0.5172 0.7485  2 Te 2.67
Cl1 0.5731 0.2021 0.0354  1 Bi 2.71
Cl2 0.7193 0.6535 0.4772  1 Bi 2.58
Cl3 0.6290 0.2021 0.5354  1 Bi 2.71
Cl4 0.0658 0.3465 0.0228  1 Bi 2.58
Cl5 0.8888 0.0012 0.1140  2 Bi 2.76-2.77
Cl6 0.8343 0.2011 0.7699  1 Bi 2.72
Cl7 0.6332 0.7989 0.7301  1 Bi 2.72
Cl8 0.9342 0.6535 0.9772  1 Bi 2.58
Cl9 0.1112 0.9988 0.8860  2 Bi 2.76-2.77
Cl10 0.4269 0.7979 0.9646  1 Bi 2.71
Cl11 0.1657 0.7989 0.2301  1 Bi 2.72
Cl12 0.8876 0.9988 0.3860  2 Bi 2.76-2.77
Cl13 0.2807 0.3465 0.5228  1 Bi 2.58
Cl14 0.1124 0.0012 0.6140  2 Bi 2.76-2.77
Cl15 0.3668 0.2011 0.2699  1 Bi 2.72
Cl16 0.3710 0.7979 0.4646  1 Bi 2.71
Bi1 0.7993 0.0697 0.9341  5 Cl 2.58-2.77
Bi2 0.2704 0.0697 0.4341  5 Cl 2.58-2.77
Bi3 0.7296 0.9303 0.5659  5 Cl 2.58-2.77
Bi4 0.2007 0.9303 0.0659  5 Cl 2.58-2.77

No. 8
Material: Sc4AgPb
Method: DFT, PBEsol
State: optimized geometry

Values from the calculation:
The value obtained for the formation energy is 191 meV per atom. The value obtained for the density of states at the Fermi level is 1.26 states/eV/atom. The value obtained for the magnetization is 0.0 μB/f.u. As for the space-group type: F-43m (216). The calculated volume comes out at 134.3 Å³/cell.

a = 5.7487 Å, b = 5.7487 Å, c = 5.7487 Å
α = 60.00°, β = 60.00°, γ = 60.00°
With the nearest neighbours (Å) after each atom.
Fractional positions:
Sc1 0.8761 0.3746 0.3746  6 Sc 2.87-2.88
Sc2 0.3746 0.3746 0.3746  6 Sc 2.87-2.88
Sc3 0.3746 0.3746 0.8761  6 Sc 2.87-2.88
Sc4 0.3746 0.8761 0.3746  6 Sc 2.87-2.88
Pb1 0.0000 0.0000 0.0000  12 Sc 3.37, 4 Ag 3.52
Ag1 0.7500 0.7500 0.7500  12 Sc 3.37, 4 Pb 3.52

No. 9
Material: FeHg2Sb
Method: DFT, PBEsol
State: optimized geometry

Values from the calculation:
The formation energy without anion corrections comes out at 89 kJ/mol of formula units. The value obtained for the density of states at the Fermi level is 0.79 states/eV/atom. The value obtained for the magnetization is 1.8 μB/f.u. As for the space-group type: R3m (160). The calculated volume comes out at 81.5 Å³/cell.

a = 3.2733 Å, b = 3.2733 Å, c = 8.9853 Å
α = 79.50°, β = 79.50°, γ = 60.00°
With the nearest neighbours (Å) after each atom.
Fractional positions:
Fe1 0.2478 0.2478 0.2564  3 Sb 2.55, 3 Hg 2.72
Hg1 0.7472 0.7472 0.7584  9 Hg 3.07-3.27, 3 Sb 3.30
Hg2 0.9887 0.9887 0.0340  3 Fe 2.72
Sb1 0.5163 0.5163 0.4511  3 Fe 2.55

No. 10
Material: V7S8
Method: DFT, PBEsol
State: optimized geometry

Values from the calculation:
The formation energy without anion corrections comes out at -1516 kJ/mol of formula units. As for the energy above the most stable polymorph in this dataset: 0 meV/atom. The value obtained for the density of states at the Fermi level is 0.65 states/eV/atom. The value obtained for the magnetization is 0.0 μB/f.u. As for the space-group type: P3_121 (152). The calculated volume comes out at 606.3 Å³/cell.

a = 6.2570 Å, b = 6.2570 Å, c = 17.8828 Å
α = 90.00°, β = 90.00°, γ = 120.00°
With the nearest neighbours (Å) after each atom.
Fractional positions:
V1 0.0012 0.4996 0.0009  6 S 2.33-2.37
V2 0.9964 0.9964 0.1667  6 S 2.34-2.37
V3 0.9988 0.4984 0.6657  6 S 2.33-2.37
V4 0.0036 0.0000 0.5000  6 S 2.34-2.37
V5 0.4968 0.4978 0.8319  6 S 2.31-2.39
V6 0.9990 0.5022 0.1681  6 S 2.31-2.39
V7 0.0000 0.4963 0.8333  6 S 2.34-2.37
V8 0.5032 0.0010 0.8347  6 S 2.31-2.39
V9 0.0000 0.0009 0.3333  6 S 2.33-2.35
V10 0.5016 0.5004 0.9991  6 S 2.33-2.37
V11 0.4978 0.4968 0.5014  6 S 2.31-2.39
V12 0.4984 0.9988 0.6676  6 S 2.33-2.37
V13 0.5037 0.5037 0.1667  6 S 2.34-2.37
V14 0.0010 0.5032 0.4986  6 S 2.31-2.39
V15 0.0009 0.0000 0.0000  6 S 2.33-2.35
V16 0.4996 0.0012 0.3324  6 S 2.33-2.37
V17 0.4963 0.0000 0.5000  6 S 2.34-2.37
V18 0.9991 0.9991 0.6667  6 S 2.33-2.35
V19 0.5022 0.9990 0.1653  6 S 2.31-2.39
V20 0.5004 0.5016 0.3343  6 S 2.33-2.37
V21 0.0000 0.0036 0.8333  6 S 2.34-2.37
S1 0.8373 0.6633 0.2526  5 V 2.31-2.37
S2 0.6633 0.8373 0.0807  5 V 2.31-2.37
S3 0.8373 0.1733 0.2516  5 V 2.33-2.38
S4 0.8261 0.1627 0.9193  5 V 2.31-2.37
S5 0.6667 0.8347 0.4178  6 V 2.34-2.37
S6 0.6635 0.3275 0.0817  5 V 2.32-2.39
S7 0.6640 0.8267 0.7484  5 V 2.33-2.38
S8 0.8347 0.6667 0.9156  6 V 2.34-2.37
S9 0.6725 0.3360 0.4150  5 V 2.32-2.39
S10 0.3275 0.6635 0.2517  5 V 2.32-2.39
S11 0.8321 0.1653 0.5822  6 V 2.34-2.37
S12 0.1739 0.3367 0.7474  5 V 2.31-2.37
S13 0.3367 0.1739 0.5860  5 V 2.31-2.37
S14 0.8267 0.6640 0.5849  5 V 2.33-2.38
S15 0.1679 0.3333 0.0844  6 V 2.34-2.37
S16 0.3365 0.6640 0.5850  5 V 2.32-2.39
S17 0.3360 0.6725 0.9183  5 V 2.32-2.39
S18 0.1733 0.8373 0.0818  5 V 2.33-2.38
S19 0.1627 0.3360 0.4151  5 V 2.33-2.38
S20 0.3360 0.1627 0.9182  5 V 2.33-2.38
S21 0.1627 0.8261 0.4140  5 V 2.31-2.37
S22 0.1653 0.8321 0.7511  6 V 2.34-2.37
S23 0.6640 0.3365 0.7483  5 V 2.32-2.39
S24 0.3333 0.1679 0.2489  6 V 2.34-2.37

No. 11
Material: AlB3Cl
Method: DFT, PBEsol
State: optimized geometry

Values from the calculation:
The formation energy without anion corrections comes out at 1008 kJ/mol of formula units. The value obtained for the density of states at the Fermi level is 0.44 states/eV/atom. The value obtained for the magnetization is 0.0 μB/f.u. As for the space-group type: Pm-3m (221). The calculated volume comes out at 56.5 Å³/cell.

a = 3.8369 Å, b = 3.8369 Å, c = 3.8369 Å
α = 90.00°, β = 90.00°, γ = 90.00°
With the nearest neighbours (Å) after each atom.
Fractional positions:
Al1 0.5000 0.5000 0.5000  12 B 2.71
Cl1 0.0000 0.0000 0.0000  6 B 1.92
B1 0.0000 0.0000 0.5000  2 Cl 1.92
B2 0.0000 0.5000 0.0000  2 Cl 1.92
B3 0.5000 0.0000 0.0000  2 Cl 1.92

No. 12
Material: Ca2ScCr
Method: DFT, PBEsol
State: optimized geometry

Values from the calculation:
The value obtained for the formation energy is 591 meV per atom. As for the energy above the most stable polymorph in this dataset: 222 meV/atom. The value obtained for the density of states at the Fermi level is 1.27 states/eV/atom. The value obtained for the magnetization is 4.9 μB/f.u. As for the space-group type: P4/mmm (123). The calculated volume comes out at 109.2 Å³/cell.

a = 4.6288 Å, b = 4.6288 Å, c = 5.0946 Å
α = 90.00°, β = 90.00°, γ = 90.00°
With the nearest neighbours (Å) after each atom.
Fractional positions:
Ca1 0.0000 0.5000 0.0000  4 Ca 3.27, 4 Cr 3.44, 4 Sc 3.44
Ca2 0.5000 0.0000 0.0000  4 Ca 3.27, 4 Cr 3.44, 4 Sc 3.44
Sc1 0.0000 0.0000 0.5000  4 Cr 3.27, 8 Ca 3.44
Cr1 0.5000 0.5000 0.5000  4 Sc 3.27, 8 Ca 3.44

magnetization of number 5 (Fe2NiIr)?
5.1 μB/f.u.

calculated volume of number 4 (Al2Ag)?
196.2 Å³/cell

Look up the magnetization of the third one.
1.6 μB/f.u.

What did the tenth record say?
Material: V7S8
Method: DFT, PBEsol
State: optimized geometry

Values from the calculation:
The formation energy without anion corrections comes out at -1516 kJ/mol of formula units. As for the energy above the most stable polymorph in this dataset: 0 meV/atom. The value obtained for the density of states at the Fermi level is 0.65 states/eV/atom. The value obtained for the magnetization is 0.0 μB/f.u. As for the space-group type: P3_121 (152). The calculated volume comes out at 606.3 Å³/cell.

a = 6.2570 Å, b = 6.2570 Å, c = 17.8828 Å
α = 90.00°, β = 90.00°, γ = 120.00°
With the nearest neighbours (Å) after each atom.
Fractional positions:
V1 0.0012 0.4996 0.0009  6 S 2.33-2.37
V2 0.9964 0.9964 0.1667  6 S 2.34-2.37
V3 0.9988 0.4984 0.6657  6 S 2.33-2.37
V4 0.0036 0.0000 0.5000  6 S 2.34-2.37
V5 0.4968 0.4978 0.8319  6 S 2.31-2.39
V6 0.9990 0.5022 0.1681  6 S 2.31-2.39
V7 0.0000 0.4963 0.8333  6 S 2.34-2.37
V8 0.5032 0.0010 0.8347  6 S 2.31-2.39
V9 0.0000 0.0009 0.3333  6 S 2.33-2.35
V10 0.5016 0.5004 0.9991  6 S 2.33-2.37
V11 0.4978 0.4968 0.5014  6 S 2.31-2.39
V12 0.4984 0.9988 0.6676  6 S 2.33-2.37
V13 0.5037 0.5037 0.1667  6 S 2.34-2.37
V14 0.0010 0.5032 0.4986  6 S 2.31-2.39
V15 0.0009 0.0000 0.0000  6 S 2.33-2.35
V16 0.4996 0.0012 0.3324  6 S 2.33-2.37
V17 0.4963 0.0000 0.5000  6 S 2.34-2.37
V18 0.9991 0.9991 0.6667  6 S 2.33-2.35
V19 0.5022 0.9990 0.1653  6 S 2.31-2.39
V20 0.5004 0.5016 0.3343  6 S 2.33-2.37
V21 0.0000 0.0036 0.8333  6 S 2.34-2.37
S1 0.8373 0.6633 0.2526  5 V 2.31-2.37
S2 0.6633 0.8373 0.0807  5 V 2.31-2.37
S3 0.8373 0.1733 0.2516  5 V 2.33-2.38
S4 0.8261 0.1627 0.9193  5 V 2.31-2.37
S5 0.6667 0.8347 0.4178  6 V 2.34-2.37
S6 0.6635 0.3275 0.0817  5 V 2.32-2.39
S7 0.6640 0.8267 0.7484  5 V 2.33-2.38
S8 0.8347 0.6667 0.9156  6 V 2.34-2.37
S9 0.6725 0.3360 0.4150  5 V 2.32-2.39
S10 0.3275 0.6635 0.2517  5 V 2.32-2.39
S11 0.8321 0.1653 0.5822  6 V 2.34-2.37
S12 0.1739 0.3367 0.7474  5 V 2.31-2.37
S13 0.3367 0.1739 0.5860  5 V 2.31-2.37
S14 0.8267 0.6640 0.5849  5 V 2.33-2.38
S15 0.1679 0.3333 0.0844  6 V 2.34-2.37
S16 0.3365 0.6640 0.5850  5 V 2.32-2.39
S17 0.3360 0.6725 0.9183  5 V 2.32-2.39
S18 0.1733 0.8373 0.0818  5 V 2.33-2.38
S19 0.1627 0.3360 0.4151  5 V 2.33-2.38
S20 0.3360 0.1627 0.9182  5 V 2.33-2.38
S21 0.1627 0.8261 0.4140  5 V 2.31-2.37
S22 0.1653 0.8321 0.7511  6 V 2.34-2.37
S23 0.6640 0.3365 0.7483  5 V 2.32-2.39
S24 0.3333 0.1679 0.2489  6 V 2.34-2.37